Here is RbGa3Si after structural relaxation from the Alexandria database. Energies are from GGA-PBE.

Lattice parameters (Å, degrees): 5.1831 5.1831 5.1831 90.00 90.00 90.00
With the nearest neighbours (Å) after each atom.
Positions (direct):
Si 0.0000 0.0000 0.0000  6 Ga 2.59
Ga 0.0000 0.5000 0.0000  2 Si 2.59
Ga 0.0000 0.0000 0.5000  2 Si 2.59
Ga 0.5000 0.0000 0.0000  2 Si 2.59
Rb 0.5000 0.5000 0.5000  12 Ga 3.66

Values from the calculation:
energy above the lowest structure with this stoichiometry: 1.51 eV per formula unit
density: 3849 kg/m3
formation energy (no corrections): 0.28 eV per atom

Here is RbGaSi after structural relaxation from the Alexandria database. Energies are from GGA-PBE.

Lattice parameters (Å, degrees): 4.9336 4.9336 7.3787 90.00 90.00 120.00
With the nearest neighbours (Å) after each atom.
Positions (direct):
Si 0.0000 0.0000 0.3165  1 Si 2.71, 3 Ga 2.96
Si 0.0000 0.0000 0.6835  1 Si 2.71, 3 Ga 2.96
Ga 0.3333 0.6667 0.2052  3 Si 2.96, 1 Ga 3.03, 3 Rb 3.23
Ga 0.3333 0.6667 0.7948  3 Si 2.96, 1 Ga 3.03, 3 Rb 3.23
Rb 0.6667 0.3333 0.0000  6 Ga 3.23
Rb 0.6667 0.3333 0.5000  6 Si 3.15

Values from the calculation:
density: 3913 kg/m3
formation energy (no corrections): 0.30 eV per atom

Here is RbGaSi after structural relaxation from the Alexandria database. Energies are from GGA-PBE.

Lattice parameters (Å, degrees): 10.4121 5.4131 8.3429 90.00 90.00 90.00
With the nearest neighbours (Å) after each atom.
Positions (direct):
Si 0.0625 0.2500 0.2161  2 Ga 2.35
Si 0.4375 0.7500 0.7161  2 Ga 2.35
Si 0.9375 0.7500 0.7839  2 Ga 2.35
Si 0.5625 0.2500 0.2839  2 Ga 2.35
Ga 0.0000 0.0000 0.0000  2 Si 2.35
Ga 0.5000 0.5000 0.5000  2 Si 2.35
Ga 0.5000 0.0000 0.5000  2 Si 2.35
Ga 0.0000 0.5000 0.0000  2 Si 2.35
Rb 0.6753 0.2500 0.8652  5 Si 3.69-3.90, 4 Ga 3.80-3.81
Rb 0.8247 0.7500 0.3652  5 Si 3.69-3.90, 4 Ga 3.80-3.81
Rb 0.3247 0.7500 0.1348  5 Si 3.69-3.90, 4 Ga 3.80-3.81
Rb 0.1753 0.2500 0.6348  5 Si 3.69-3.90, 4 Ga 3.80-3.81

Values from the calculation:
density: 2589 kg/m3
formation energy (no corrections): 0.14 eV per atom

Here is RbGa2Si2 after structural relaxation from the Alexandria database. Energies are from GGA-PBE.

Lattice parameters (Å, degrees): 4.5222 4.5222 6.2700 68.86 68.86 90.00
With the nearest neighbours (Å) after each atom.
Positions (direct):
Si 0.7500 0.2500 0.5000  4 Ga 2.64
Si 0.2500 0.7500 0.5000  4 Ga 2.64
Ga 0.3755 0.3755 0.2490  4 Si 2.64, 1 Ga 2.69
Ga 0.6245 0.6245 0.7510  4 Si 2.64, 1 Ga 2.69
Rb 0.0000 0.0000 0.0000  8 Ga 3.47, 8 Si 3.52

Values from the calculation:
energy above the lowest structure with this stoichiometry: 0.36 eV per formula unit
density: 4232 kg/m3
formation energy (no corrections): 0.08 eV per atom

Here is RbGa3Si after structural relaxation from the Alexandria database. Energies are from GGA-PBE.

Lattice parameters (Å, degrees): 5.7661 5.7661 5.7661 90.00 90.00 90.00
With the nearest neighbours (Å) after each atom.
Positions (direct):
Si 0.5000 0.5000 0.5000  12 Ga 4.08
Ga 0.0000 0.5000 0.0000  2 Rb 2.88
Ga 0.0000 0.0000 0.5000  2 Rb 2.88
Ga 0.5000 0.0000 0.0000  2 Rb 2.88
Rb 0.0000 0.0000 0.0000  6 Ga 2.88

Values from the calculation:
energy above the lowest structure with this stoichiometry: 7.75 eV per formula unit
density: 2795 kg/m3
formation energy (no corrections): 1.53 eV per atom

Here is RbGaSi after structural relaxation from the Alexandria database. Energies are from GGA-PBE.

Lattice parameters (Å, degrees): 18.8343 6.5683 6.5683 119.41 146.05 33.95
With the nearest neighbours (Å) after each atom.
Positions (direct):
Si 0.4811 0.2033 0.7967  1 Si 2.34, 2 Ga 2.41
Si 0.0353 0.9328 0.0672  1 Si 2.34, 2 Ga 2.40
Ga 0.6521 0.3163 0.3094  2 Si 2.40-2.41, 1 Ga 2.48
Ga 0.6521 0.6906 0.6837  2 Si 2.40-2.41, 1 Ga 2.48
Rb 0.0192 0.6251 0.3749  6 Ga 3.67-4.03, 3 Si 3.78-3.81, 3 Rb 3.87-4.01
Rb 0.1952 0.9999 0.0001  7 Si 3.75-4.14, 4 Ga 3.77-3.84, 3 Rb 3.87-4.01

Values from the calculation:
density: 3098 kg/m3
formation energy (no corrections): 0.07 eV per atom

Here is RbGa2Si after structural relaxation from the Alexandria database. Energies are from GGA-PBE.

Lattice parameters (Å, degrees): 5.3769 5.3769 9.3097 73.22 73.22 90.00
With the nearest neighbours (Å) after each atom.
Positions (direct):
Si 0.5000 0.5000 0.0000  4 Ga 2.51
Si 0.2500 0.7500 0.5000  4 Ga 2.51
Ga 0.3750 0.1250 0.2500  2 Si 2.51, 2 Ga 2.69
Ga 0.3750 0.6250 0.2500  2 Si 2.51, 2 Ga 2.69
Ga 0.3750 0.6250 0.7500  2 Si 2.51, 2 Ga 2.69
Ga 0.8750 0.6250 0.7500  2 Si 2.51, 2 Ga 2.69
Rb 0.0000 0.0000 0.0000  8 Ga 3.68, 4 Si 3.80
Rb 0.7500 0.2500 0.5000  8 Ga 3.68, 4 Si 3.80

Values from the calculation:
density: 3420 kg/m3
formation energy (no corrections): 0.15 eV per atom

Here is RbGaSi after structural relaxation from the Alexandria database. Energies are from GGA-PBE.

Lattice parameters (Å, degrees): 7.7589 7.2262 7.2262 68.80 119.11 60.89
With the nearest neighbours (Å) after each atom.
Positions (direct):
Si 0.6724 0.4093 0.7030  2 Ga 2.48-2.76, 2 Si 2.50
Si 0.1724 0.7970 0.0907  2 Ga 2.48-2.76, 2 Si 2.50
Ga 0.1991 0.6031 0.5210  2 Si 2.48-2.76, 2 Ga 2.58
Ga 0.6991 0.9790 0.8969  2 Si 2.48-2.76, 2 Ga 2.58
Rb 0.9194 0.2762 0.3656  4 Ga 3.61-4.01, 4 Si 3.67-3.87
Rb 0.4194 0.1344 0.2238  4 Ga 3.61-4.01, 4 Si 3.67-3.87

Values from the calculation:
density: 3169 kg/m3
formation energy (no corrections): -0.01 eV per atom